No. 1
A relaxed structure of Pm6FeGe3, computed with PBE.

Output
SG ... R-3, No. 148

Geometry as CIF:
```
data_Pm6FeGe3
_cell_length_a 8.5083
_cell_length_b 8.5083
_cell_length_c 8.5083
_cell_angle_alpha 99.37
_cell_angle_beta 99.37
_cell_angle_gamma 99.37
_space_group_name_H-M_alt 'P 1'
_space_group_IT_number 1
_space_group_name_Hall 'P 1'
loop_
_atom_site_label
_atom_site_type_symbol
_atom_site_fract_x
_atom_site_fract_y
_atom_site_fract_z
Pm1 Pm 0.0340 0.9376 0.6865
Pm2 Pm 0.0624 0.3135 0.9660
Pm3 Pm 0.1864 0.5696 0.4299
Pm4 Pm 0.3135 0.9660 0.0624
Pm5 Pm 0.4299 0.1864 0.5696
Pm6 Pm 0.4304 0.5701 0.8136
Pm7 Pm 0.5696 0.4299 0.1864
Pm8 Pm 0.5701 0.8136 0.4304
Pm9 Pm 0.6865 0.0340 0.9376
Pm10 Pm 0.8136 0.4304 0.5701
Pm11 Pm 0.9376 0.6865 0.0340
Pm12 Pm 0.9660 0.0624 0.3135
Fe1 Fe 0.0000 0.0000 0.0000
Fe2 Fe 0.5000 0.5000 0.5000
Ge1 Ge 0.1249 0.2984 0.6279
Ge2 Ge 0.2984 0.6279 0.1249
Ge3 Ge 0.3721 0.8751 0.7016
Ge4 Ge 0.6279 0.1249 0.2984
Ge5 Ge 0.7016 0.3721 0.8751
Ge6 Ge 0.8751 0.7016 0.3721
```

---

No. 2
A relaxed structure of Pm2Fe3Ge4, computed with PBE.

Output
SG ... Cmce, No. 64

Geometry as CIF:
```
data_Pm2Fe3Ge4
_cell_length_a 7.9945
_cell_length_b 7.9945
_cell_length_c 7.4549
_cell_angle_alpha 90.00
_cell_angle_beta 90.00
_cell_angle_gamma 139.57
_space_group_name_H-M_alt 'P 1'
_space_group_IT_number 1
_space_group_name_Hall 'P 1'
loop_
_atom_site_label
_atom_site_type_symbol
_atom_site_fract_x
_atom_site_fract_y
_atom_site_fract_z
Pm1 Pm 0.1106 0.8894 0.9041
Pm2 Pm 0.3894 0.6106 0.4041
Pm3 Pm 0.6106 0.3894 0.5959
Pm4 Pm 0.8894 0.1106 0.0959
Fe1 Fe 0.0000 0.0000 0.5000
Fe2 Fe 0.0283 0.4717 0.7500
Fe3 Fe 0.4717 0.0283 0.2500
Fe4 Fe 0.5000 0.5000 0.0000
Fe5 Fe 0.5283 0.9717 0.7500
Fe6 Fe 0.9717 0.5283 0.2500
Ge1 Ge 0.1884 0.8116 0.5246
Ge2 Ge 0.1922 0.3078 0.7500
Ge3 Ge 0.3078 0.1922 0.2500
Ge4 Ge 0.3116 0.6884 0.0246
Ge5 Ge 0.6884 0.3116 0.9754
Ge6 Ge 0.6922 0.8078 0.7500
Ge7 Ge 0.8078 0.6922 0.2500
Ge8 Ge 0.8116 0.1884 0.4754
```

---

No. 3
A relaxed structure of Pm8FeGe2, computed with PBE.

Output
SG ... C2/m, No. 12

Geometry as CIF:
```
data_Pm8FeGe2
_cell_length_a 9.6491
_cell_length_b 9.6491
_cell_length_c 7.3063
_cell_angle_alpha 97.86
_cell_angle_beta 97.86
_cell_angle_gamma 27.52
_space_group_name_H-M_alt 'P 1'
_space_group_IT_number 1
_space_group_name_Hall 'P 1'
loop_
_atom_site_label
_atom_site_type_symbol
_atom_site_fract_x
_atom_site_fract_y
_atom_site_fract_z
Pm1 Pm 0.0070 0.0070 0.2824
Pm2 Pm 0.2194 0.2194 0.8396
Pm3 Pm 0.3541 0.3541 0.4866
Pm4 Pm 0.4036 0.4036 0.9893
Pm5 Pm 0.5964 0.5964 0.0107
Pm6 Pm 0.6459 0.6459 0.5134
Pm7 Pm 0.7806 0.7806 0.1604
Pm8 Pm 0.9930 0.9930 0.7176
Fe1 Fe 0.5000 0.5000 0.5000
Ge1 Ge 0.1798 0.1798 0.2553
Ge2 Ge 0.8202 0.8202 0.7447
```

---

No. 4
A relaxed structure of Pm2FeGe6, computed with PBE.

Output
SG ... Amm2, No. 38

Geometry as CIF:
```
data_Pm2FeGe6
_cell_length_a 4.1760
_cell_length_b 11.0984
_cell_length_c 11.0984
_cell_angle_alpha 21.06
_cell_angle_beta 90.00
_cell_angle_gamma 90.00
_space_group_name_H-M_alt 'P 1'
_space_group_IT_number 1
_space_group_name_Hall 'P 1'
loop_
_atom_site_label
_atom_site_type_symbol
_atom_site_fract_x
_atom_site_fract_y
_atom_site_fract_z
Pm1 Pm 0.0000 0.0000 0.0000
Pm2 Pm 0.0000 0.3355 0.3355
Fe1 Fe 0.5000 0.5605 0.5605
Ge1 Ge 0.0000 0.6139 0.6139
Ge2 Ge 0.0000 0.7291 0.7291
Ge3 Ge 0.5000 0.1160 0.1160
Ge4 Ge 0.5000 0.2315 0.2315
Ge5 Ge 0.5000 0.4522 0.4522
Ge6 Ge 0.5000 0.8787 0.8787
```

---

No. 5
A relaxed structure of Pm3Fe2Ge7, computed with PBE.

Output
SG ... P2/m, No. 10

Geometry as CIF:
```
data_Pm3Fe2Ge7
_cell_length_a 4.2661
_cell_length_b 4.2892
_cell_length_c 12.8685
_cell_angle_alpha 90.00
_cell_angle_beta 99.54
_cell_angle_gamma 90.00
_space_group_name_H-M_alt 'P 1'
_space_group_IT_number 1
_space_group_name_Hall 'P 1'
loop_
_atom_site_label
_atom_site_type_symbol
_atom_site_fract_x
_atom_site_fract_y
_atom_site_fract_z
Pm1 Pm 0.0000 0.0000 0.0000
Pm2 Pm 0.3159 0.5000 0.6308
Pm3 Pm 0.6841 0.5000 0.3692
Fe1 Fe 0.1267 0.0000 0.2538
Fe2 Fe 0.8733 0.0000 0.7462
Ge1 Ge 0.0894 0.5000 0.1805
Ge2 Ge 0.2182 0.0000 0.4373
Ge3 Ge 0.4105 0.0000 0.8203
Ge4 Ge 0.5000 0.5000 0.0000
Ge5 Ge 0.5895 0.0000 0.1797
Ge6 Ge 0.7818 0.0000 0.5627
Ge7 Ge 0.9106 0.5000 0.8195
```

---

No. 6
A relaxed structure of PmFe2Ge2, computed with PBE.

Output
SG ... I4/mmm, No. 139

Geometry as CIF:
```
data_PmFe2Ge2
_cell_length_a 5.7768
_cell_length_b 5.7768
_cell_length_c 5.7768
_cell_angle_alpha 138.70
_cell_angle_beta 138.70
_cell_angle_gamma 59.83
_space_group_name_H-M_alt 'P 1'
_space_group_IT_number 1
_space_group_name_Hall 'P 1'
loop_
_atom_site_label
_atom_site_type_symbol
_atom_site_fract_x
_atom_site_fract_y
_atom_site_fract_z
Pm1 Pm 0.0000 0.0000 0.0000
Fe1 Fe 0.2500 0.7500 0.5000
Fe2 Fe 0.7500 0.2500 0.5000
Ge1 Ge 0.3648 0.3648 0.0000
Ge2 Ge 0.6352 0.6352 0.0000
```

---

No. 7
A relaxed structure of PmFe9Ge4, computed with PBE.

Output
SG ... I4/mcm, No. 140

Geometry as CIF:
```
data_PmFe9Ge4
_cell_length_a 8.2181
_cell_length_b 8.2181
_cell_length_c 8.2181
_cell_angle_alpha 121.24
_cell_angle_beta 121.24
_cell_angle_gamma 87.86
_space_group_name_H-M_alt 'P 1'
_space_group_IT_number 1
_space_group_name_Hall 'P 1'
loop_
_atom_site_label
_atom_site_type_symbol
_atom_site_fract_x
_atom_site_fract_y
_atom_site_fract_z
Pm1 Pm 0.2500 0.2500 0.0000
Pm2 Pm 0.7500 0.7500 0.0000
Fe1 Fe 0.0000 0.5000 0.5000
Fe2 Fe 0.0625 0.5625 0.2746
Fe3 Fe 0.0630 0.7996 0.8626
Fe4 Fe 0.2004 0.0630 0.2634
Fe5 Fe 0.2122 0.9375 0.5000
Fe6 Fe 0.2878 0.7878 0.7254
Fe7 Fe 0.2996 0.5630 0.8626
Fe8 Fe 0.4370 0.2996 0.7366
Fe9 Fe 0.4375 0.7122 0.5000
Fe10 Fe 0.5000 0.0000 0.5000
Fe11 Fe 0.5625 0.2878 0.5000
Fe12 Fe 0.5630 0.7004 0.2634
Fe13 Fe 0.7004 0.4370 0.1374
Fe14 Fe 0.7122 0.2122 0.2746
Fe15 Fe 0.7878 0.0625 0.5000
Fe16 Fe 0.7996 0.9370 0.7366
Fe17 Fe 0.9370 0.2004 0.1374
Fe18 Fe 0.9375 0.4375 0.7254
Ge1 Ge 0.0541 0.1912 0.5000
Ge2 Ge 0.1912 0.6912 0.1371
Ge3 Ge 0.3088 0.4459 0.5000
Ge4 Ge 0.4459 0.9459 0.1371
Ge5 Ge 0.5541 0.0541 0.8629
Ge6 Ge 0.6912 0.5541 0.5000
Ge7 Ge 0.8088 0.3088 0.8629
Ge8 Ge 0.9459 0.8088 0.5000
```

---

No. 8
A relaxed structure of Pm2FeGePt6, computed with PBE.

Output
SG ... C2/m, No. 12

Geometry as CIF:
```
data_Pm2FeGePt6
_cell_length_a 6.5945
_cell_length_b 6.5945
_cell_length_c 8.4417
_cell_angle_alpha 129.22
_cell_angle_beta 129.22
_cell_angle_gamma 49.07
_space_group_name_H-M_alt 'P 1'
_space_group_IT_number 1
_space_group_name_Hall 'P 1'
loop_
_atom_site_label
_atom_site_type_symbol
_atom_site_fract_x
_atom_site_fract_y
_atom_site_fract_z
Pm1 Pm 0.2431 0.2431 0.2105
Pm2 Pm 0.7569 0.7569 0.7895
Fe1 Fe 0.5000 0.5000 0.0000
Ge1 Ge 0.0000 0.0000 0.5000
Pt1 Pt 0.2408 0.7367 0.2396
Pt2 Pt 0.2515 0.2515 0.6048
Pt3 Pt 0.2633 0.7592 0.7604
Pt4 Pt 0.7367 0.2408 0.2396
Pt5 Pt 0.7485 0.7485 0.3952
Pt6 Pt 0.7592 0.2633 0.7604
```

---

No. 9
A relaxed structure of PmPuFeGe, computed with PBE.

Output
SG ... F-43m, No. 216

Geometry as CIF:
```
data_PmPuFeGe
_cell_length_a 5.0102
_cell_length_b 5.0102
_cell_length_c 5.0102
_cell_angle_alpha 60.00
_cell_angle_beta 60.00
_cell_angle_gamma 60.00
_space_group_name_H-M_alt 'P 1'
_space_group_IT_number 1
_space_group_name_Hall 'P 1'
loop_
_atom_site_label
_atom_site_type_symbol
_atom_site_fract_x
_atom_site_fract_y
_atom_site_fract_z
Pm1 Pm 0.0000 0.0000 0.0000
Pu1 Pu 0.5000 0.5000 0.5000
Fe1 Fe 0.7500 0.7500 0.7500
Ge1 Ge 0.2500 0.2500 0.2500
```

---

No. 10
A relaxed structure of Pm2FeGe6Ru, computed with PBE.

Output
SG ... R-3m, No. 166

Geometry as CIF:
```
data_Pm2FeGe6Ru
_cell_length_a 9.9699
_cell_length_b 9.9699
_cell_length_c 9.9699
_cell_angle_alpha 43.54
_cell_angle_beta 43.54
_cell_angle_gamma 43.54
_space_group_name_H-M_alt 'P 1'
_space_group_IT_number 1
_space_group_name_Hall 'P 1'
loop_
_atom_site_label
_atom_site_type_symbol
_atom_site_fract_x
_atom_site_fract_y
_atom_site_fract_z
Pm1 Pm 0.1362 0.1362 0.1362
Pm2 Pm 0.2899 0.2899 0.2899
Pm3 Pm 0.7101 0.7101 0.7101
Pm4 Pm 0.8638 0.8638 0.8638
Fe1 Fe 0.3951 0.3951 0.3951
Fe2 Fe 0.6049 0.6049 0.6049
Ge1 Ge 0.1306 0.6086 0.6086
Ge2 Ge 0.2096 0.2096 0.7330
Ge3 Ge 0.2096 0.7330 0.2096
Ge4 Ge 0.2670 0.7904 0.7904
Ge5 Ge 0.3914 0.3914 0.8694
Ge6 Ge 0.3914 0.8694 0.3914
Ge7 Ge 0.6086 0.1306 0.6086
Ge8 Ge 0.6086 0.6086 0.1306
Ge9 Ge 0.7330 0.2096 0.2096
Ge10 Ge 0.7904 0.2670 0.7904
Ge11 Ge 0.7904 0.7904 0.2670
Ge12 Ge 0.8694 0.3914 0.3914
Ru1 Ru 0.0000 0.0000 0.0000
Ru2 Ru 0.5000 0.5000 0.5000
```

---

No. 11
A relaxed structure of PmFeTcGe2, computed with PBE.

Output
SG ... I-4m2, No. 119

Geometry as CIF:
```
data_PmFeTcGe2
_cell_length_a 6.1468
_cell_length_b 6.1468
_cell_length_c 6.1468
_cell_angle_alpha 141.29
_cell_angle_beta 141.29
_cell_angle_gamma 55.90
_space_group_name_H-M_alt 'P 1'
_space_group_IT_number 1
_space_group_name_Hall 'P 1'
loop_
_atom_site_label
_atom_site_type_symbol
_atom_site_fract_x
_atom_site_fract_y
_atom_site_fract_z
Pm1 Pm 0.0000 0.0000 0.0000
Fe1 Fe 0.2500 0.7500 0.5000
Tc1 Tc 0.7500 0.2500 0.5000
Ge1 Ge 0.3782 0.3782 0.0000
Ge2 Ge 0.6218 0.6218 0.0000
```

---

No. 12
A relaxed structure of Pm2FeTcGe6, computed with PBE.

Output
SG ... R-3m, No. 166

Geometry as CIF:
```
data_Pm2FeTcGe6
_cell_length_a 10.1587
_cell_length_b 10.1587
_cell_length_c 10.1587
_cell_angle_alpha 42.25
_cell_angle_beta 42.25
_cell_angle_gamma 42.25
_space_group_name_H-M_alt 'P 1'
_space_group_IT_number 1
_space_group_name_Hall 'P 1'
loop_
_atom_site_label
_atom_site_type_symbol
_atom_site_fract_x
_atom_site_fract_y
_atom_site_fract_z
Pm1 Pm 0.1346 0.1346 0.1346
Pm2 Pm 0.2903 0.2903 0.2903
Pm3 Pm 0.7097 0.7097 0.7097
Pm4 Pm 0.8654 0.8654 0.8654
Fe1 Fe 0.3964 0.3964 0.3964
Fe2 Fe 0.6036 0.6036 0.6036
Tc1 Tc 0.0000 0.0000 0.0000
Tc2 Tc 0.5000 0.5000 0.5000
Ge1 Ge 0.1254 0.6116 0.6116
Ge2 Ge 0.2095 0.2095 0.7276
Ge3 Ge 0.2095 0.7276 0.2095
Ge4 Ge 0.2724 0.7905 0.7905
Ge5 Ge 0.3884 0.3884 0.8746
Ge6 Ge 0.3884 0.8746 0.3884
Ge7 Ge 0.6116 0.1254 0.6116
Ge8 Ge 0.6116 0.6116 0.1254
Ge9 Ge 0.7276 0.2095 0.2095
Ge10 Ge 0.7905 0.2724 0.7905
Ge11 Ge 0.7905 0.7905 0.2724
Ge12 Ge 0.8746 0.3884 0.3884
```

---

Number 1: N(E_F) 19.326 states/eV/cell, magnetic moment 0.05 μB per atom, formation enthalpy at 0 K -0.36 eV per atom. Number 2: N(E_F) 17.394 states/eV/cell, magnetic moment 0.51 μB per atom, formation enthalpy at 0 K -0.38 eV per atom. Number 3: N(E_F) 12.798 states/eV/cell, magnetic moment 0.00 μB per atom, formation enthalpy at 0 K -0.25 eV per atom. Number 4: N(E_F) 6.139 states/eV/cell, magnetic moment 0.19 μB per atom, formation enthalpy at 0 K -0.42 eV per atom. Number 5: N(E_F) 6.109 states/eV/cell, magnetic moment 0.00 μB per atom, formation enthalpy at 0 K -0.57 eV per atom. Number 6: N(E_F) 5.229 states/eV/cell, magnetic moment 0.05 μB per atom, formation enthalpy at 0 K -0.45 eV per atom. Number 7: N(E_F) 25.255 states/eV/cell, magnetic moment 1.22 μB per atom, formation enthalpy at 0 K -0.20 eV per atom. Number 8: N(E_F) 5.542 states/eV/cell, magnetic moment 0.29 μB per atom, formation enthalpy at 0 K -0.69 eV per atom. Number 9: N(E_F) 14.275 states/eV/cell, magnetic moment 1.79 μB per atom, formation enthalpy at 0 K 0.05 eV per atom. Number 10: N(E_F) 13.040 states/eV/cell, magnetic moment 0.00 μB per atom, formation enthalpy at 0 K -0.22 eV per atom. Number 11: N(E_F) 4.559 states/eV/cell, magnetic moment 0.49 μB per atom, formation enthalpy at 0 K -0.45 eV per atom. Number 12: N(E_F) 16.516 states/eV/cell, magnetic moment 0.00 μB per atom, formation enthalpy at 0 K -0.17 eV per atom.